Entry 1:
Compound: Be2SeCl
Source: the Alexandria database
Functional: GGA-PBE
Structure: relaxed

Summary:
As for the magnetic moment: 0.30 μB/cell. The total energy comes out at -3.2491 eV/atom. The volume is 70.8 Å³/cell. The energy relative to the lowest polymorph listed for this composition comes out at 356 meV/atom.

Lattice parameters (Å, degrees): 3.3799 3.3799 6.1959 90.00 90.00 90.00
With the nearest neighbours (Å) after each atom.
Space group P4mm (No. 99)
Inequivalent atoms, fractional coordinates:
Be1 0.0000 0.0000 0.0000  1 Cl 2.28, 4 Se 2.42
Be2 0.5000 0.5000 0.2863  1 Se 2.17
Se1 0.5000 0.5000 0.9358  5 Be 2.17-2.42
Cl1 0.0000 0.0000 0.3684  5 Be 2.28-2.44

***

Entry 2:
Compound: Sc3GaTe
Source: the Alexandria database
Functional: GGA-PBE
Structure: relaxed

Summary:
As for the magnetic moment: 0.00 μB/cell. The total energy comes out at -5.2721 eV/atom. The volume is 129.9 Å³/cell. The energy relative to the lowest polymorph listed for this composition comes out at 451 meV/atom.

Lattice parameters (Å, degrees): 5.0640 5.0640 5.0640 90.00 90.00 90.00
With the nearest neighbours (Å) after each atom.
Space group Pm-3m (No. 221)
Inequivalent atoms, fractional coordinates:
Sc1 0.0000 0.0000 0.5000  2 Ga 2.53
Ga1 0.0000 0.0000 0.0000  6 Sc 2.53
Te1 0.5000 0.5000 0.5000  12 Sc 3.58

***

Entry 3:
Compound: NdSmTmZn
Source: the Alexandria database
Functional: GGA-PBE
Structure: relaxed

Summary:
As for the magnetic moment: 0.00 μB/cell. As for the formation energy: 0.02 eV per atom. The total energy comes out at -3.7925 eV/atom. The volume is 446.3 Å³/cell. The energy relative to the lowest polymorph listed for this composition comes out at 173 meV/atom.

Lattice parameters (Å, degrees): 7.6421 7.6421 7.6421 90.00 90.00 90.00
With the nearest neighbours (Å) after each atom.
Space group F-43m (No. 216)
Inequivalent atoms, fractional coordinates:
Nd1 0.0000 0.0000 0.0000  4 Tm 3.31, 4 Zn 3.31
Sm1 0.0000 0.0000 0.5000  4 Zn 3.31, 4 Tm 3.31
Tm1 0.2500 0.2500 0.7500  4 Nd 3.31, 4 Sm 3.31
Zn1 0.2500 0.2500 0.2500  4 Nd 3.31, 4 Sm 3.31

***

Entry 4:
Compound: CdPd2Au4
Source: the Alexandria database
Functional: GGA-PBE
Structure: relaxed

Summary:
As for the magnetic moment: 0.00 μB/cell. As for the formation energy: -0.01 eV per atom. The total energy comes out at -3.4954 eV/atom. The volume is 261.0 Å³/cell. The energy relative to the lowest polymorph listed for this composition comes out at 58 meV/atom.

Lattice parameters (Å, degrees): 4.9937 9.5463 5.4941 90.00 94.84 90.00
With the nearest neighbours (Å) after each atom.
Space group P2_1/c (No. 14)
Inequivalent atoms, fractional coordinates:
Cd1 0.0000 0.0000 0.0000  2 Pd 2.72, 6 Au 2.78-2.84
Pd1 0.2831 0.0469 0.6057  1 Pd 2.70, 1 Cd 2.72, 5 Au 2.74-2.93
Au1 0.0446 0.7262 0.1714  3 Pd 2.74-3.03, 5 Au 2.77-3.03, 2 Cd 2.78-2.84
Au2 0.4696 0.1683 0.0686  4 Au 2.77-3.09, 1 Cd 2.84, 3 Pd 2.88-2.93

***

Entry 5:
Compound: CuAgHg
Source: the Alexandria database
Functional: GGA-PBE
Structure: relaxed

Summary:
As for the magnetic moment: 0.00 μB/cell. As for the formation energy: 0.14 eV per atom. The total energy comes out at -2.2727 eV/atom. The volume is 104.8 Å³/cell. The energy relative to the lowest polymorph listed for this composition comes out at 15 meV/atom.

Lattice parameters (Å, degrees): 3.0952 3.0952 10.9420 90.00 90.00 90.00
With the nearest neighbours (Å) after each atom.
Space group I4mm (No. 107)
Inequivalent atoms, fractional coordinates:
Cu1 0.0000 0.0000 0.0000  4 Ag 2.72, 4 Hg 2.79
Ag1 0.0000 0.0000 0.3518  4 Cu 2.72, 4 Hg 3.05
Hg1 0.0000 0.0000 0.6582  4 Cu 2.79, 4 Ag 3.05, 4 Hg 3.10

***

Entry 6:
Compound: Pm3Be2GaPt9
Source: the Alexandria database
Functional: GGA-PBE
Structure: relaxed

Summary:
As for the magnetic moment: 0.00 μB/cell. As for the formation energy: -0.83 eV per atom. The total energy comes out at -6.1020 eV/atom. The volume is 276.3 Å³/cell.

Lattice parameters (Å, degrees): 5.8331 5.8331 9.3771 90.00 90.00 120.00
With the nearest neighbours (Å) after each atom.
Space group P-3m1 (No. 164)
Inequivalent atoms, fractional coordinates:
Pm1 0.0000 0.0000 0.0000  12 Pt 2.92-3.26
Pm2 0.3333 0.6667 0.6195  6 Pt 3.02
Be1 0.3333 0.6667 0.1515  6 Pt 2.19-2.20
Ga1 0.0000 0.0000 0.5000  6 Pt 2.52
Pt1 0.0000 0.5000 0.0000  2 Be 2.20
Pt2 0.1646 0.3292 0.2985  1 Be 2.19